No. 1
Material: MgSb2
Method: DFT, GGA-PBEsol
State: optimized geometry

VASP energy = -21.70 eV for the cell shown
formation energy without anion corrections = -0.006 eV/atom

```
data_MgSb2
_chemical_formula_sum 'Mg2 Sb4'
_cell_length_a 5.142
_cell_length_b 5.142
_cell_length_c 6.458
_cell_angle_alpha 90.00
_cell_angle_beta 90.00
_cell_angle_gamma 120.00
_symmetry_space_group_name_H-M 'P 1'
_symmetry_Int_Tables_number 1
_symmetry_space_group_name_Hall 'P 1'
loop_
_atom_site_label
_atom_site_type_symbol
_atom_site_fract_x
_atom_site_fract_y
_atom_site_fract_z
Sb1 Sb 0.000 0.000 0.000
Sb2 Sb 0.667 0.333 0.750
Sb3 Sb 0.000 0.000 0.500
Sb4 Sb 0.333 0.667 0.250
Mg1 Mg 0.667 0.333 0.250
Mg2 Mg 0.333 0.667 0.750
```

No. 2
Material: MgSb
Method: DFT, GGA-PBEsol
State: optimized geometry

VASP energy = -19.81 eV for the cell shown
formation energy without anion corrections = -0.165 eV/atom

```
data_MgSb
_chemical_formula_sum 'Mg3 Sb3'
_cell_length_a 5.414
_cell_length_b 5.872
_cell_length_c 5.414
_cell_angle_alpha 90.00
_cell_angle_beta 119.94
_cell_angle_gamma 90.00
_symmetry_space_group_name_H-M 'P 1'
_symmetry_Int_Tables_number 1
_symmetry_space_group_name_Hall 'P 1'
loop_
_atom_site_label
_atom_site_type_symbol
_atom_site_fract_x
_atom_site_fract_y
_atom_site_fract_z
Sb1 Sb 0.929 0.000 0.263
Sb2 Sb 0.263 0.000 0.929
Sb3 Sb 0.575 0.500 0.575
Mg1 Mg 0.597 0.000 0.597
Mg2 Mg 0.234 0.500 0.901
Mg3 Mg 0.901 0.500 0.234
```

No. 3
Material: MgSb3
Method: DFT, GGA-PBEsol
State: optimized geometry

VASP energy = -31.37 eV for the cell shown
energy above the most stable polymorph in this dataset = 0.000 eV/atom
formation energy without anion corrections = -0.074 eV/atom

```
data_MgSb3
_chemical_formula_sum 'Mg2 Sb6'
_cell_length_a 5.859
_cell_length_b 6.059
_cell_length_c 6.059
_cell_angle_alpha 87.79
_cell_angle_beta 90.00
_cell_angle_gamma 90.00
_symmetry_space_group_name_H-M 'P 1'
_symmetry_Int_Tables_number 1
_symmetry_space_group_name_Hall 'P 1'
loop_
_atom_site_label
_atom_site_type_symbol
_atom_site_fract_x
_atom_site_fract_y
_atom_site_fract_z
Sb1 Sb 0.750 0.669 0.755
Sb2 Sb 0.250 0.755 0.669
Sb3 Sb 0.750 0.185 0.815
Sb4 Sb 0.250 0.331 0.245
Sb5 Sb 0.750 0.245 0.331
Sb6 Sb 0.250 0.815 0.185
Mg1 Mg 0.750 0.749 0.251
Mg2 Mg 0.250 0.251 0.749
```

No. 4
Material: MgSc4Sb
Method: DFT, GGA-PBEsol
State: optimized geometry

VASP energy = -32.32 eV for the cell shown
formation energy without anion corrections = 0.063 eV/atom

```
data_MgSc4Sb
_chemical_formula_sum 'Mg1 Sc4 Sb1'
_cell_length_a 5.847
_cell_length_b 5.847
_cell_length_c 5.847
_cell_angle_alpha 60.00
_cell_angle_beta 60.00
_cell_angle_gamma 60.00
_symmetry_space_group_name_H-M 'P 1'
_symmetry_Int_Tables_number 1
_symmetry_space_group_name_Hall 'P 1'
loop_
_atom_site_label
_atom_site_type_symbol
_atom_site_fract_x
_atom_site_fract_y
_atom_site_fract_z
Sc1 Sc 0.375 0.375 0.875
Sc2 Sc 0.375 0.375 0.375
Sc3 Sc 0.375 0.875 0.375
Sc4 Sc 0.875 0.375 0.375
Mg1 Mg 0.750 0.750 0.750
Sb1 Sb 0.000 0.000 0.000
```

No. 5
Material: MgSc2Sb2
Method: DFT, GGA-PBEsol
State: optimized geometry

VASP energy = -55.40 eV for the cell shown
formation energy without anion corrections = -0.731 eV/atom

```
data_MgSc2Sb2
_chemical_formula_sum 'Mg2 Sc4 Sb4'
_cell_length_a 3.850
_cell_length_b 7.713
_cell_length_c 7.713
_cell_angle_alpha 90.00
_cell_angle_beta 90.00
_cell_angle_gamma 90.00
_symmetry_space_group_name_H-M 'P 1'
_symmetry_Int_Tables_number 1
_symmetry_space_group_name_Hall 'P 1'
loop_
_atom_site_label
_atom_site_type_symbol
_atom_site_fract_x
_atom_site_fract_y
_atom_site_fract_z
Sb1 Sb 0.000 0.848 0.652
Sb2 Sb 0.000 0.348 0.848
Sb3 Sb 0.000 0.152 0.348
Sb4 Sb 0.000 0.652 0.152
Sc1 Sc 0.500 0.650 0.850
Sc2 Sc 0.500 0.350 0.150
Sc3 Sc 0.500 0.850 0.350
Sc4 Sc 0.500 0.150 0.650
Mg1 Mg 0.000 0.500 0.500
Mg2 Mg 0.000 0.000 0.000
```

No. 6
Material: MgSc2Sb
Method: DFT, GGA-PBEsol
State: optimized geometry

VASP energy = -21.32 eV for the cell shown
energy above the most stable polymorph in this dataset = 0.000 eV/atom
formation energy without anion corrections = -0.458 eV/atom

```
data_MgSc2Sb
_chemical_formula_sum 'Mg1 Sc2 Sb1'
_cell_length_a 4.001
_cell_length_b 4.185
_cell_length_c 5.816
_cell_angle_alpha 90.00
_cell_angle_beta 110.12
_cell_angle_gamma 90.00
_symmetry_space_group_name_H-M 'P 1'
_symmetry_Int_Tables_number 1
_symmetry_space_group_name_Hall 'P 1'
loop_
_atom_site_label
_atom_site_type_symbol
_atom_site_fract_x
_atom_site_fract_y
_atom_site_fract_z
Sb1 Sb 0.539 0.500 0.077
Sc1 Sc 0.980 0.000 0.960
Sc2 Sc 0.267 0.500 0.533
Mg1 Mg 0.712 0.000 0.425
```